VASP calculation (GGA-PBE) on an optimized crystal structure of Y2ErHg.

a b c (Å): 3.5411 3.4863 9.8042
angles (deg): 100.24 90.00 90.00
Fractional positions:
1 Y 0.5000 0.1117 0.2234
2 Y 0.0000 0.4788 0.9575
3 Er 0.0000 0.2690 0.5380
4 Hg 0.5000 0.8698 0.7397

- SG = Amm2 (38)
- E above lowest polymorph (eV per atom) = 0.1259

---

VASP calculation (GGA-PBE) on an optimized crystal structure of ErSc3In.

a b c (Å): 5.0659 7.7103 6.6040
angles (deg): 90.00 90.00 90.00
Fractional positions:
1 Er 0.5000 0.0000 0.2111
2 Er 0.0000 0.5000 0.7889
3 Sc 0.0000 0.6903 0.2644
4 Sc 0.5000 0.8097 0.7356
5 Sc 0.5000 0.1903 0.7356
6 Sc 0.0000 0.3097 0.2644
7 Sc 0.0000 0.0000 0.9415
8 Sc 0.5000 0.5000 0.0585
9 In 0.0000 0.0000 0.5205
10 In 0.5000 0.5000 0.4795

- SG = Pmmn (59)
- E above lowest polymorph (eV per atom) = 0.0413

---

| no. | total magnetic moment (μB per formula unit) | calculated formation energy (eV per atom) |
| --- | --- | --- |
| 1 | 0.59 | -0.10 |
| 2 | 0.00 | -0.11 |